# 1
Sm3Y3Te2Pt, relaxed, DFT PBE; polymorph energy (0 for the lowest one) = 0.00 eV/f.u.; SG = P-62m (189)
1.0
-0.429 -3.921 -7.492
3.296 -4.006 6.692
-3.651 -1.416 0.950
Y Sm Te Pt
3 3 2 1
direct
0.000 0.244 0.500 Y
0.756 0.756 0.500 Y
0.244 0.000 0.500 Y
0.595 0.000 0.000 Sm
0.405 0.405 0.000 Sm
0.000 0.595 0.000 Sm
0.333 0.667 0.500 Te
0.667 0.333 0.500 Te
0.000 0.000 0.000 Pt



# 2
BaCdGa2Pd, relaxed, DFT PBE; total DFT energy (no corrections) = -3.3287 eV per atom; SG = P4/nmm (129)
1.0
-2.433 -1.988 3.435
3.862 -2.115 1.512
2.163 8.610 6.516
Cd Ba Ga Pd
2 2 4 2
direct
0.500 0.500 0.000 Cd
0.000 0.000 0.000 Cd
0.000 0.500 0.263 Ba
0.500 0.000 0.737 Ba
0.500 0.000 0.156 Ga
0.500 0.500 0.500 Ga
0.000 0.000 0.500 Ga
0.000 0.500 0.844 Ga
0.000 0.500 0.607 Pd
0.500 0.000 0.393 Pd



# 3
Lu2Nb4Al3N3, relaxed, DFT PBE; total DFT energy (no corrections) = -8.0147 eV per atom; SG = C2/c (15)
1.0
-4.350 -3.064 1.536
-1.899 -3.965 -3.368
10.632 -6.776 6.559
Lu Nb N Al
4 8 6 6
direct
0.537 0.376 0.610 Lu
0.463 0.624 0.390 Lu
0.624 0.463 0.890 Lu
0.376 0.537 0.110 Lu
0.142 0.306 0.420 Nb
0.306 0.142 0.920 Nb
0.694 0.858 0.080 Nb
0.194 0.026 0.580 Nb
0.974 0.806 0.920 Nb
0.806 0.974 0.420 Nb
0.026 0.194 0.080 Nb
0.858 0.694 0.580 Nb
0.183 0.658 0.500 N
0.342 0.817 0.000 N
0.658 0.183 0.000 N
0.500 0.000 0.500 N
0.000 0.500 0.000 N
0.817 0.342 0.500 N
0.417 0.102 0.250 Al
0.102 0.417 0.750 Al
0.898 0.583 0.250 Al
0.583 0.898 0.750 Al
0.063 0.937 0.750 Al
0.937 0.063 0.250 Al



# 4
LaPaNO, relaxed, DFT PBE; polymorph energy (0 for the lowest one) = 0.09 eV/f.u.; SG = Pmc2_1 (26)
1.0
3.890 0.000 0.000
0.000 6.394 0.000
0.000 0.000 6.954
La Pa N O
2 2 2 2
direct
0.000 0.924 0.655 La
0.000 0.424 0.345 La
0.500 0.474 0.846 Pa
0.500 0.974 0.154 Pa
0.000 0.027 0.325 N
0.000 0.527 0.675 N
0.500 0.830 0.846 O
0.500 0.330 0.154 O



# 5
Nb4ZnN3, relaxed, DFT PBE; total DFT energy (no corrections) = -9.0168 eV per atom; SG = P6_3/mmc (194)
1.0
3.094 0.000 0.000
-1.547 2.679 0.000
0.000 0.000 24.352
Nb N Zn
8 6 2
direct
0.000 0.000 0.159 Nb
0.333 0.667 0.054 Nb
0.667 0.333 0.946 Nb
0.333 0.667 0.446 Nb
0.667 0.333 0.554 Nb
0.000 0.000 0.841 Nb
0.000 0.000 0.659 Nb
0.000 0.000 0.341 Nb
0.333 0.667 0.608 N
0.000 0.000 0.000 N
0.667 0.333 0.392 N
0.333 0.667 0.892 N
0.000 0.000 0.500 N
0.667 0.333 0.108 N
0.667 0.333 0.750 Zn
0.333 0.667 0.250 Zn



# 6
NaInPd, relaxed, DFT PBE; total DFT energy (no corrections) = -2.8514 eV per atom; SG = F-43m (216)
1.0
0.000 3.264 3.264
3.264 0.000 3.264
3.264 3.264 0.000
Pd Na In
1 1 1
direct
0.750 0.750 0.750 Pd
0.000 0.000 0.000 Na
0.250 0.250 0.250 In



# 7
Sm3Nb3Mo2N12, relaxed, DFT PBE; total DFT energy (no corrections) = -9.0894 eV per atom; SG = Ia-3d (230)
1.0
5.351 9.833 0.182
-10.132 1.179 4.616
5.885 -7.559 5.795
Sm N Nb Mo
12 48 12 8
direct
0.125 0.250 0.375 Sm
0.250 0.875 0.625 Sm
0.375 0.125 0.250 Sm
0.750 0.625 0.875 Sm
0.625 0.250 0.875 Sm
0.375 0.750 0.125 Sm
0.625 0.875 0.750 Sm
0.750 0.125 0.375 Sm
0.250 0.375 0.125 Sm
0.125 0.375 0.750 Sm
0.875 0.625 0.250 Sm
0.875 0.750 0.625 Sm
0.582 0.906 0.384 N
0.884 0.406 0.082 N
0.906 0.022 0.324 N
0.698 0.522 0.616 N
0.302 0.478 0.384 N
0.918 0.116 0.594 N
0.582 0.176 0.198 N
0.406 0.824 0.522 N
0.594 0.918 0.116 N
0.478 0.384 0.302 N
0.324 0.918 0.302 N
0.594 0.176 0.478 N
0.082 0.884 0.406 N
0.978 0.676 0.094 N
0.906 0.384 0.582 N
0.478 0.594 0.176 N
0.384 0.582 0.906 N
0.824 0.802 0.418 N
0.522 0.616 0.698 N
0.884 0.978 0.802 N
0.616 0.698 0.522 N
0.198 0.116 0.022 N
0.302 0.324 0.918 N
0.022 0.324 0.906 N
0.418 0.824 0.802 N
0.676 0.094 0.978 N
0.176 0.478 0.594 N
0.094 0.978 0.676 N
0.082 0.698 0.676 N
0.698 0.676 0.082 N
0.802 0.418 0.824 N
0.022 0.198 0.116 N
0.198 0.582 0.176 N
0.384 0.302 0.478 N
0.094 0.616 0.418 N
0.824 0.522 0.406 N
0.918 0.302 0.324 N
0.116 0.022 0.198 N
0.116 0.594 0.918 N
0.676 0.082 0.698 N
0.176 0.198 0.582 N
0.802 0.884 0.978 N
0.978 0.802 0.884 N
0.324 0.906 0.022 N
0.616 0.418 0.094 N
0.406 0.082 0.884 N
0.418 0.094 0.616 N
0.522 0.406 0.824 N
0.250 0.125 0.875 Nb
0.875 0.125 0.750 Nb
0.625 0.375 0.250 Nb
0.125 0.875 0.250 Nb
0.375 0.250 0.625 Nb
0.125 0.750 0.875 Nb
0.750 0.875 0.125 Nb
0.750 0.375 0.625 Nb
0.375 0.625 0.750 Nb
0.625 0.750 0.375 Nb
0.875 0.250 0.125 Nb
0.250 0.625 0.375 Nb
0.000 0.500 0.000 Mo
0.500 0.500 0.000 Mo
0.500 0.000 0.000 Mo
0.500 0.000 0.500 Mo
0.000 0.000 0.500 Mo
0.000 0.000 0.000 Mo
0.500 0.500 0.500 Mo
0.000 0.500 0.500 Mo



# 8
NbBiAsO, relaxed, DFT PBE; polymorph energy (0 for the lowest one) = 0.85 eV/f.u.; SG = P4/nmm (129)
1.0
-0.748 3.664 1.484
-3.676 -1.200 1.108
3.378 -2.675 8.309
Bi As O Nb
2 2 2 2
direct
0.750 0.750 0.867 Bi
0.250 0.250 0.133 Bi
0.250 0.250 0.690 As
0.750 0.750 0.310 As
0.750 0.250 0.000 O
0.250 0.750 0.000 O
0.750 0.250 0.500 Nb
0.250 0.750 0.500 Nb



# 9
TaCuNiHg, relaxed, DFT PBE; polymorph energy (0 for the lowest one) = 0.82 eV/f.u.; DFT formation energy = 0.34 eV per atom; SG = F-43m (216)
1.0
0.250 -4.378 -0.595
-3.701 -2.398 -0.365
-1.114 -1.770 -3.900
Ta Ni Cu Hg
1 1 1 1
direct
0.000 0.000 0.000 Ta
0.500 0.500 0.500 Ni
0.750 0.750 0.750 Cu
0.250 0.250 0.250 Hg



# 10
Hf4GaHgC2, relaxed, DFT PBE; total DFT energy (no corrections) = -8.3942 eV per atom; SG = P-6m2 (187)
1.0
-1.964 2.614 -0.413
0.709 -1.949 -2.561
-11.500 -8.160 3.029
Hf C Ga Hg
4 2 1 1
direct
0.000 0.000 0.171 Hf
0.667 0.333 0.657 Hf
0.000 0.000 0.829 Hf
0.667 0.333 0.343 Hf
0.333 0.667 0.256 C
0.333 0.667 0.744 C
0.000 0.000 0.500 Ga
0.667 0.333 0.000 Hg



# 11
Pr2TeCN2O4, relaxed, DFT PBE; total DFT energy (no corrections) = -7.5572 eV per atom; SG = P-1 (2)
1.0
-0.359 -3.124 -5.887
3.884 -5.596 0.176
-3.646 -6.071 1.883
O N Pr Te C
8 4 4 2 2
direct
0.726 0.879 0.989 O
0.868 0.151 0.339 O
0.132 0.849 0.661 O
0.355 0.149 0.626 O
0.645 0.851 0.374 O
0.531 0.291 0.110 O
0.469 0.709 0.890 O
0.274 0.121 0.010 O
0.705 0.349 0.634 N
0.295 0.651 0.366 N
0.070 0.504 0.249 N
0.930 0.496 0.751 N
0.671 0.542 0.228 Pr
0.753 0.915 0.659 Pr
0.247 0.085 0.341 Pr
0.329 0.458 0.772 Pr
0.220 0.958 0.859 Te
0.780 0.042 0.141 Te
0.820 0.422 0.691 C
0.180 0.578 0.309 C



# 12
SmTl2O4, relaxed, DFT PBE; total DFT energy (no corrections) = -5.6693 eV per atom; SG = Fd-3m (227)
1.0
4.895 -4.896 0.000
-4.895 0.000 -4.896
4.895 4.896 0.000
O Tl Sm
8 4 2
direct
0.131 0.263 0.869 O
0.619 0.237 0.381 O
0.144 0.763 0.381 O
0.619 0.763 0.381 O
0.131 0.737 0.869 O
0.606 0.737 0.869 O
0.131 0.263 0.394 O
0.619 0.237 0.856 O
0.375 0.750 0.625 Tl
0.375 0.250 0.625 Tl
0.375 0.750 0.125 Tl
0.875 0.250 0.625 Tl
0.000 0.000 0.000 Sm
0.750 0.500 0.250 Sm



# 13
ErAg2, relaxed, DFT PBE; DFT formation energy = -0.34 eV per atom; SG = P4mm (99)
1.0
-2.268 1.773 2.314
-0.806 -3.199 1.660
6.941 1.275 5.827
Ag Er
4 2
direct
0.000 0.000 0.832 Ag
0.000 0.000 0.170 Ag
0.500 0.500 0.667 Ag
0.500 0.500 0.330 Ag
0.500 0.500 0.001 Er
0.000 0.000 0.500 Er



# 14
CuNiPbW, relaxed, DFT PBE; polymorph energy (0 for the lowest one) = 0.00 eV/f.u.; SG = F-43m (216)
1.0
2.088 -3.912 0.433
-1.695 -3.653 -1.907
2.044 -1.834 -3.508
Ni Pb Cu W
1 1 1 1
direct
0.250 0.250 0.250 Ni
0.000 0.000 0.000 Pb
0.750 0.750 0.750 Cu
0.500 0.500 0.500 W



# 15
NdZn2, relaxed, DFT PBE; DFT formation energy = -0.32 eV per atom; SG = Fd-3m (227)
1.0
-0.774 2.239 5.021
-4.651 2.828 1.091
-3.804 -2.133 3.434
Zn Nd
4 2
direct
0.625 0.125 0.625 Zn
0.125 0.625 0.625 Zn
0.625 0.625 0.125 Zn
0.625 0.625 0.625 Zn
0.250 0.250 0.250 Nd
0.000 0.000 0.000 Nd



# 16
CsAgGeSeS2, relaxed, DFT PBE; total DFT energy (no corrections) = -3.6683 eV per atom; SG = Cmcm (63)
1.0
-4.092 7.217 -1.662
1.769 -6.963 4.470
7.328 5.437 5.569
Ag Ge S Se Cs
2 2 4 2 2
direct
0.426 0.574 0.750 Ag
0.574 0.426 0.250 Ag
0.000 0.000 0.500 Ge
0.000 0.000 0.000 Ge
0.395 0.605 0.973 S
0.395 0.605 0.527 S
0.605 0.395 0.473 S
0.605 0.395 0.027 S
0.952 0.048 0.250 Se
0.048 0.952 0.750 Se
0.264 0.736 0.250 Cs
0.736 0.264 0.750 Cs



# 17
Li5SbPd6, relaxed, DFT PBE; total DFT energy (no corrections) = -4.2580 eV per atom; SG = P2/m (10)
1.0
4.342 0.000 0.000
-0.005 6.082 0.000
-2.119 -0.002 6.425
Pd Li Sb
6 5 1
direct
0.500 0.742 0.000 Pd
0.500 0.258 0.000 Pd
0.831 0.259 0.662 Pd
0.831 0.741 0.662 Pd
0.169 0.741 0.338 Pd
0.169 0.259 0.338 Pd
0.000 0.500 0.000 Li
0.670 0.000 0.340 Li
0.335 0.500 0.671 Li
0.330 0.000 0.660 Li
0.665 0.500 0.329 Li
0.000 0.000 0.000 Sb



# 18
Tm5ThBi6, relaxed, DFT PBE; total DFT energy (no corrections) = -5.2714 eV per atom; SG = C2/m (12)
1.0
3.858 -6.681 0.000
3.858 6.681 0.000
-2.580 0.000 7.278
Tm Bi Th
5 6 1
direct
0.332 0.668 0.000 Tm
0.837 0.163 0.500 Tm
0.163 0.837 0.500 Tm
0.500 0.500 0.500 Tm
0.668 0.332 0.000 Tm
0.743 0.743 0.251 Bi
0.086 0.426 0.256 Bi
0.574 0.914 0.744 Bi
0.914 0.574 0.744 Bi
0.257 0.257 0.749 Bi
0.426 0.086 0.256 Bi
0.000 0.000 0.000 Th



# 19
Hf2BAu, relaxed, DFT PBE; total DFT energy (no corrections) = -6.6556 eV per atom; SG = F-43m (216)
1.0
4.231 -1.771 -0.375
2.243 -1.416 3.761
0.685 -4.494 0.715
Au B Hf
1 1 2
direct
0.250 0.250 0.250 Au
0.500 0.500 0.500 B
0.000 0.000 0.000 Hf
0.750 0.750 0.750 Hf